SrNpMnSe4 | GGA-PBE | optimized geometry

a b c (Å): 6.842 6.589 8.511
angles (deg): 90.00 107.53 90.00
Positions (direct):
Sr 0.751 0.750 0.941
Sr 0.249 0.250 0.059
Np 0.769 0.750 0.444
Np 0.231 0.250 0.556
Mn 0.237 0.750 0.319
Mn 0.763 0.250 0.681
Se 0.019 0.513 0.733
Se 0.981 0.013 0.267
Se 0.981 0.487 0.267
Se 0.019 0.987 0.733
Se 0.435 0.750 0.130
Se 0.565 0.250 0.870
Se 0.441 0.750 0.599
Se 0.559 0.250 0.401

Calculated values
- D(E_F) (states/eV per cell) = 17.591
- symmetry = P2_1/m (11)
- E_form (uncorrected) (eV per atom) = -1.131
- uncorrected energy (eV/atom) = -6.521



Np2MnTl2Se6 | GGA-PBE | optimized geometry

a b c (Å): 6.980 6.980 8.185
angles (deg): 98.37 98.37 119.93
Positions (direct):
Np 0.333 0.667 0.500
Np 0.667 0.333 0.500
Mn 0.000 0.000 0.500
Tl 0.830 0.170 0.000
Tl 0.170 0.830 0.000
Se 0.749 0.749 0.694
Se 0.068 0.391 0.698
Se 0.251 0.251 0.306
Se 0.391 0.068 0.698
Se 0.932 0.609 0.302
Se 0.609 0.932 0.302

Calculated values
- D(E_F) (states/eV per cell) = 14.547
- symmetry = C2/m (12)
- E_form (uncorrected) (eV per atom) = -0.802
- uncorrected energy (eV/atom) = -6.319



NpMn2Tl2Se4 | GGA-PBE | optimized geometry

a b c (Å): 4.178 7.916 7.962
angles (deg): 108.53 105.21 90.00
Positions (direct):
Np 0.000 0.000 0.000
Mn 0.681 0.985 0.363
Mn 0.319 0.015 0.637
Tl 0.133 0.572 0.266
Tl 0.867 0.428 0.734
Se 0.198 0.174 0.397
Se 0.802 0.826 0.603
Se 0.522 0.763 0.043
Se 0.478 0.237 0.957

Calculated values
- D(E_F) (states/eV per cell) = 11.180
- symmetry = C2/m (12)
- E_form (uncorrected) (eV per atom) = -0.551
- uncorrected energy (eV/atom) = -6.101



NpMnTlSe3 | GGA-PBE | optimized geometry

a b c (Å): 4.187 9.029 9.698
angles (deg): 107.05 90.00 90.00
Positions (direct):
Np 0.250 0.677 0.152
Np 0.750 0.323 0.848
Mn 0.250 0.086 0.609
Mn 0.750 0.914 0.391
Tl 0.750 0.796 0.769
Tl 0.250 0.204 0.231
Se 0.250 0.794 0.465
Se 0.750 0.887 0.128
Se 0.750 0.460 0.156
Se 0.750 0.206 0.535
Se 0.250 0.540 0.844
Se 0.250 0.113 0.872

Calculated values
- D(E_F) (states/eV per cell) = 18.765
- symmetry = P2_1/m (11)
- E_form (uncorrected) (eV per atom) = -0.737
- uncorrected energy (eV/atom) = -6.559



NpMnTl2Se4 | GGA-PBE | optimized geometry

a b c (Å): 8.543 8.542 8.607
angles (deg): 120.26 120.25 90.14
Positions (direct):
Np 0.000 0.500 0.000
Np 0.000 0.500 0.500
Mn 0.500 0.500 0.500
Mn 0.000 0.000 0.000
Tl 0.500 0.000 0.000
Tl 0.500 0.000 0.500
Tl 0.000 0.000 0.500
Tl 0.500 0.500 0.000
Se 0.203 0.739 0.971
Se 0.761 0.297 0.529
Se 0.239 0.703 0.471
Se 0.797 0.261 0.029
Se 0.764 0.735 0.955
Se 0.765 0.736 0.545
Se 0.235 0.264 0.455
Se 0.236 0.265 0.045

Calculated values
- D(E_F) (states/eV per cell) = 22.278
- symmetry = Imma (74)
- E_form (uncorrected) (eV per atom) = -0.627
- uncorrected energy (eV/atom) = -5.724



NpMn2Si3 | GGA-PBE | optimized geometry

a b c (Å): 5.044 6.003 6.003
angles (deg): 104.55 90.00 90.00
Positions (direct):
Np 0.250 0.349 0.349
Np 0.750 0.651 0.651
Mn 0.500 0.795 0.205
Mn 0.000 0.795 0.205
Mn 0.000 0.205 0.795
Mn 0.500 0.205 0.795
Si 0.750 0.463 0.099
Si 0.750 0.099 0.463
Si 0.250 0.537 0.901
Si 0.750 0.053 0.053
Si 0.250 0.947 0.947
Si 0.250 0.901 0.537

Calculated values
- D(E_F) (states/eV per cell) = 22.142
- symmetry = Cmcm (63)
- E_form (uncorrected) (eV per atom) = -0.301
- uncorrected energy (eV/atom) = -8.226



NpMn3Si3 | GGA-PBE | optimized geometry

a b c (Å): 6.310 6.310 6.310
angles (deg): 90.00 90.00 90.00
Positions (direct):
Np 0.500 0.500 0.500
Np 0.000 0.000 0.000
Si 0.250 0.000 0.500
Si 0.000 0.500 0.250
Si 0.500 0.750 0.000
Si 0.750 0.000 0.500
Si 0.000 0.500 0.750
Si 0.500 0.250 0.000
Mn 0.000 0.250 0.500
Mn 0.000 0.750 0.500
Mn 0.500 0.000 0.750
Mn 0.750 0.500 0.000
Mn 0.500 0.000 0.250
Mn 0.250 0.500 0.000

Calculated values
- D(E_F) (states/eV per cell) = 33.823
- symmetry = Pm-3n (223)
- E_form (uncorrected) (eV per atom) = 0.451
- uncorrected energy (eV/atom) = -7.652



NpMnSi2 | GGA-PBE | optimized geometry

a b c (Å): 2.932 2.932 6.858
angles (deg): 90.00 90.00 90.00
Positions (direct):
Np 0.500 0.500 0.500
Si 0.000 0.000 0.814
Si 0.000 0.000 0.186
Mn 0.500 0.500 0.000

Calculated values
- D(E_F) (states/eV per cell) = 5.654
- symmetry = P4/mmm (123)
- E_form (uncorrected) (eV per atom) = -0.212
- uncorrected energy (eV/atom) = -8.451



NpMnSi2 | GGA-PBE | optimized geometry

a b c (Å): 4.043 4.043 5.245
angles (deg): 67.33 67.33 60.00
Positions (direct):
Np 0.500 0.500 0.500
Si 0.286 0.286 0.141
Si 0.714 0.714 0.859
Mn 0.000 0.000 0.000

Calculated values
- D(E_F) (states/eV per cell) = 8.634
- symmetry = R-3m (166)
- E_form (uncorrected) (eV per atom) = -0.255
- uncorrected energy (eV/atom) = -8.494



NpMn2Si2 | GGA-PBE | optimized geometry

a b c (Å): 3.841 3.841 5.883
angles (deg): 109.05 109.05 90.00
Positions (direct):
Np 0.000 0.000 0.000
Mn 0.750 0.250 0.500
Mn 0.250 0.750 0.500
Si 0.617 0.617 0.234
Si 0.383 0.383 0.766

Calculated values
- D(E_F) (states/eV per cell) = 8.981
- symmetry = I4/mmm (139)
- E_form (uncorrected) (eV per atom) = -0.325
- uncorrected energy (eV/atom) = -8.750



NpMnSi2 | GGA-PBE | optimized geometry

a b c (Å): 4.007 6.463 9.955
angles (deg): 90.00 90.00 90.00
Positions (direct):
Np 0.750 0.695 0.369
Np 0.750 0.195 0.131
Np 0.250 0.305 0.631
Np 0.250 0.805 0.869
Mn 0.250 0.010 0.394
Mn 0.750 0.990 0.606
Mn 0.250 0.510 0.106
Mn 0.750 0.490 0.894
Si 0.750 0.714 0.078
Si 0.250 0.286 0.922
Si 0.750 0.214 0.422
Si 0.250 0.786 0.578
Si 0.750 0.127 0.825
Si 0.250 0.373 0.325
Si 0.750 0.627 0.675
Si 0.250 0.873 0.175

Calculated values
- D(E_F) (states/eV per cell) = 25.913
- symmetry = Pnma (62)
- E_form (uncorrected) (eV per atom) = -0.352
- uncorrected energy (eV/atom) = -8.591



NpMn10Si2 | GGA-PBE | optimized geometry

a b c (Å): 6.348 6.348 7.905
angles (deg): 90.00 90.00 97.89
Positions (direct):
Np 0.877 0.123 0.750
Np 0.123 0.877 0.250
Mn 0.374 0.128 0.750
Mn 0.626 0.872 0.250
Mn 0.872 0.626 0.750
Mn 0.128 0.374 0.250
Mn 0.520 0.749 0.750
Mn 0.480 0.251 0.250
Mn 0.251 0.480 0.750
Mn 0.749 0.520 0.250
Mn 0.830 0.170 0.398
Mn 0.170 0.830 0.898
Mn 0.830 0.170 0.102
Mn 0.170 0.830 0.602
Mn 0.601 0.399 0.926
Mn 0.399 0.601 0.426
Mn 0.601 0.399 0.574
Mn 0.399 0.601 0.074
Mn 0.780 0.780 0.000
Mn 0.220 0.220 0.500
Mn 0.220 0.220 0.000
Mn 0.780 0.780 0.500
Si 0.500 0.000 0.000
Si 0.500 0.000 0.500
Si 0.000 0.500 0.500
Si 0.000 0.500 0.000

Calculated values
- D(E_F) (states/eV per cell) = 32.606
- symmetry = Cmcm (63)
- E_form (uncorrected) (eV per atom) = -0.137
- uncorrected energy (eV/atom) = -9.020



NpMn4Sn | GGA-PBE | optimized geometry

a b c (Å): 4.994 4.994 4.994
angles (deg): 60.00 60.00 60.00
Positions (direct):
Np 0.250 0.250 0.250
Mn 0.626 0.626 0.121
Mn 0.626 0.121 0.626
Mn 0.626 0.626 0.626
Mn 0.121 0.626 0.626
Sn 0.000 0.000 0.000

Calculated values
- ΔE_f (eV per atom) = 0.237
- D(E_F) (states/eV per cell) = 8.997
- symmetry = F-43m (216)
- uncorrected energy (eV/atom) = -8.700



NpMnTcSn | GGA-PBE | optimized geometry

a b c (Å): 4.651 4.651 4.651
angles (deg): 60.00 60.00 60.00
Positions (direct):
Np 0.250 0.250 0.250
Mn 0.000 0.000 0.000
Sn 0.750 0.750 0.750
Tc 0.500 0.500 0.500

Calculated values
- ΔE_f (eV per atom) = 0.055
- D(E_F) (states/eV per cell) = 7.222
- symmetry = F-43m (216)
- uncorrected energy (eV/atom) = -9.065



Sr2NpMnTe5 | GGA-PBE | optimized geometry

a b c (Å): 4.491 10.074 13.745
angles (deg): 90.00 90.00 102.88
Positions (direct):
Sr 0.884 0.768 0.830
Sr 0.118 0.236 0.689
Sr 0.116 0.232 0.330
Sr 0.882 0.764 0.189
Np 0.799 0.598 0.524
Np 0.201 0.402 0.024
Mn 0.566 0.132 0.931
Mn 0.434 0.868 0.431
Te 0.356 0.713 0.010
Te 0.696 0.391 0.865
Te 0.501 0.002 0.764
Te 0.299 0.597 0.676
Te 0.954 0.909 0.535
Te 0.644 0.287 0.510
Te 0.304 0.609 0.365
Te 0.499 0.998 0.264
Te 0.701 0.403 0.176
Te 0.046 0.091 0.035

Calculated values
- D(E_F) (states/eV per cell) = 18.856
- symmetry = Cmc2_1 (36)
- E_form (uncorrected) (eV per atom) = -0.981
- uncorrected energy (eV/atom) = -5.557



NpTaMn | GGA-PBE | optimized geometry

a b c (Å): 5.809 2.893 7.154
angles (deg): 101.67 113.95 90.00
Positions (direct):
Ta 0.617 0.117 0.235
Ta 0.383 0.883 0.765
Mn 0.782 0.500 0.000
Mn 0.218 0.500 0.000
Np 0.164 0.664 0.329
Np 0.836 0.336 0.671

Calculated values
- ΔE_f (eV per atom) = 0.510
- D(E_F) (states/eV per cell) = 12.759
- symmetry = Immm (71)
- uncorrected energy (eV/atom) = -10.811



TbNpMn2 | GGA-PBE | optimized geometry

a b c (Å): 3.225 3.225 8.181
angles (deg): 78.63 78.63 60.00
Positions (direct):
Np 0.000 0.000 0.000
Mn 0.734 0.734 0.798
Mn 0.266 0.266 0.202
Tb 0.500 0.500 0.500

Calculated values
- ΔE_f (eV per atom) = 0.386
- D(E_F) (states/eV per cell) = 4.843
- symmetry = R-3m (166)
- uncorrected energy (eV/atom) = -8.592



NpMn4Tc | GGA-PBE | optimized geometry

a b c (Å): 4.859 4.859 4.859
angles (deg): 60.00 60.00 60.00
Positions (direct):
Np 0.250 0.250 0.250
Mn 0.626 0.626 0.123
Mn 0.626 0.123 0.626
Mn 0.626 0.626 0.626
Mn 0.123 0.626 0.626
Tc 0.000 0.000 0.000

Calculated values
- ΔE_f (eV per atom) = 0.246
- D(E_F) (states/eV per cell) = 11.281
- symmetry = F-43m (216)
- uncorrected energy (eV/atom) = -9.752



NpUMnTc | GGA-PBE | optimized geometry

a b c (Å): 4.521 4.521 4.521
angles (deg): 60.00 60.00 60.00
Positions (direct):
Np 0.250 0.250 0.250
Mn 0.000 0.000 0.000
U 0.500 0.500 0.500
Tc 0.750 0.750 0.750

Calculated values
- ΔE_f (eV per atom) = 0.068
- D(E_F) (states/eV per cell) = 6.930
- symmetry = F-43m (216)
- uncorrected energy (eV/atom) = -10.873



NpMnTe2 | GGA-PBE | optimized geometry

a b c (Å): 5.422 5.422 5.014
angles (deg): 57.27 57.27 60.00
Positions (direct):
Np 0.500 0.500 0.500
Te 0.237 0.237 0.288
Te 0.763 0.763 0.712
Mn 0.000 0.000 0.000

Calculated values
- D(E_F) (states/eV per cell) = 14.992
- symmetry = R-3m (166)
- E_form (uncorrected) (eV per atom) = -0.107
- uncorrected energy (eV/atom) = -7.205



NpMnTe | GGA-PBE | optimized geometry

a b c (Å): 4.081 4.081 12.140
angles (deg): 119.11 119.12 60.02
Positions (direct):
Np 0.770 0.770 0.715
Np 0.984 0.984 0.592
Mn 0.517 0.517 0.454
Mn 0.236 0.236 0.853
Te 0.087 0.087 0.354
Te 0.666 0.666 0.953

Calculated values
- energy relative to the lowest polymorph listed for this composition (eV per atom) = 0.094
- D(E_F) (states/eV per cell) = 9.954
- symmetry = C2/m (12)
- E_form (uncorrected) (eV per atom) = 0.048
- uncorrected energy (eV/atom) = -8.369



NpMnTe | GGA-PBE | optimized geometry

a b c (Å): 4.507 4.507 4.507
angles (deg): 60.00 60.00 60.00
Positions (direct):
Np 0.500 0.500 0.500
Te 0.000 0.000 0.000
Mn 0.250 0.250 0.250

Calculated values
- energy relative to the lowest polymorph listed for this composition (eV per atom) = 0.000
- D(E_F) (states/eV per cell) = 6.070
- symmetry = F-43m (216)
- E_form (uncorrected) (eV per atom) = -0.046
- uncorrected energy (eV/atom) = -8.463



Np2MnTe4 | GGA-PBE | optimized geometry

a b c (Å): 4.224 7.431 8.152
angles (deg): 116.95 105.02 90.00
Positions (direct):
Np 0.743 0.748 0.486
Np 0.257 0.252 0.514
Mn 0.000 0.000 0.000
Te 0.888 0.207 0.775
Te 0.112 0.793 0.225
Te 0.617 0.275 0.233
Te 0.383 0.725 0.767

Calculated values
- D(E_F) (states/eV per cell) = 23.919
- symmetry = C2/m (12)
- E_form (uncorrected) (eV per atom) = -0.470
- uncorrected energy (eV/atom) = -7.272